{"formula": "CdMo2O2", "functional": "PBE with a Hubbard U", "state": "relaxed", "lattice_angstrom": [[7.091, 0.000, 0.000], [0.000, 7.091, 0.000], [0.000, 0.000, 3.042]], "species": ["Cd", "Cd", "Mo", "Mo", "Mo", "Mo", "O", "O", "O", "O"], "frac_coords": [[0.000, 0.000, 0.000], [0.500, 0.500, 0.000], [0.126, 0.374, 0.500], [0.374, 0.874, 0.500], [0.626, 0.126, 0.500], [0.874, 0.626, 0.500], [0.127, 0.627, 0.000], [0.373, 0.127, 0.000], [0.627, 0.873, 0.000], [0.873, 0.373, 0.000]], "dos_at_fermi_per_ev_cell": 3.327, "e_tot_ev_per_atom": -4.76, "magmom_total_mub_per_fu": 5.82, "space_group": "P4/mbm"}